Entry a
OsRuBr: relaxed, PBE.

Results
N(E_F) in states/eV/cell: 2.443
Magnetic moment in μB/cell: 0.00
Mass density in Mg/m³: 11.200

Structure (extended XYZ):
```
3
Lattice="4.270 0.000 0.000 2.135 3.698 0.000 2.135 1.233 3.486" Properties=species:S:1:pos:R:3 pbc="T T T"
Br 4.270 2.465 1.743
Os 2.135 1.233 0.872
Ru 0.000 0.000 0.000
```

***

Entry b
OsRuBr: relaxed, PBE.

Results
N(E_F) in states/eV/cell: 3.772
Magnetic moment in μB/cell: 0.00
Mass density in Mg/m³: 12.335

Structure (extended XYZ):
```
3
Lattice="-0.050 2.580 -5.572 2.303 -0.849 -5.628 -2.793 -2.000 5.089" Properties=species:S:1:pos:R:3 pbc="T T T"
Os 0.714 0.548 -3.548
Br 2.251 1.729 -11.189
Ru 1.542 1.184 -7.663
```

***

Entry c
OsRuBr: relaxed, PBE.

Results
N(E_F) in states/eV/cell: 2.454
Magnetic moment in μB/cell: 0.00
Mass density in Mg/m³: 12.776

Structure (extended XYZ):
```
3
Lattice="2.935 0.000 0.000 -1.468 2.542 0.000 0.000 0.000 6.466" Properties=species:S:1:pos:R:3 pbc="T T T"
Os 1.468 0.847 2.266
Ru 0.000 1.695 4.225
Br 0.000 0.000 6.440
```

***

Most stable: entry c. Least stable: entry a.

***

Entry a
OsRuBr: relaxed, PBE.

Results
N(E_F) in states/eV/cell: 3.673
Magnetic moment in μB/cell: 0.93
Mass density in Mg/m³: 12.137

Structure (extended XYZ):
```
3
Lattice="7.586 -0.049 0.029 6.767 2.719 0.020 0.819 -1.326 2.430" Properties=species:S:1:pos:R:3 pbc="T T T"
Os 5.147 -0.048 1.668
Ru 9.931 1.365 0.827
Br 0.913 -1.298 2.413
```

***

Entry b
OsRuBr: relaxed, PBE.

Results
N(E_F) in states/eV/cell: 2.979
Magnetic moment in μB/cell: 0.00
Mass density in Mg/m³: 13.116

Structure (extended XYZ):
```
3
Lattice="-3.675 -2.141 0.216 3.660 -1.947 0.977 -0.318 0.834 2.856" Properties=species:S:1:pos:R:3 pbc="T T T"
Os -1.309 -1.870 1.176
Br -0.009 0.023 0.077
Ru 0.984 -1.407 2.795
```

***

Most stable: entry a. Least stable: entry b.

***

Entry a
Os3SBr: relaxed, PBE.

Results
N(E_F) in states/eV/cell: 10.815
Magnetic moment in μB/cell: 0.00
Mass density in Mg/m³: 12.991

Structure (extended XYZ):
```
5
Lattice="4.435 0.000 0.000 0.000 4.435 0.000 0.000 0.000 4.435" Properties=species:S:1:pos:R:3 pbc="T T T"
Os 0.000 0.000 2.218
Os 2.218 0.000 0.000
S 0.000 0.000 0.000
Br 2.218 2.218 2.218
Os 0.000 2.218 0.000
```

***

Entry b
Os3SBr: relaxed, PBE.

Results
N(E_F) in states/eV/cell: 12.603
Magnetic moment in μB/cell: 0.00
Mass density in Mg/m³: 11.762

Structure (extended XYZ):
```
5
Lattice="-1.803 -3.072 -2.887 1.955 -3.391 2.388 -3.735 -0.292 2.643" Properties=species:S:1:pos:R:3 pbc="T T T"
S -1.792 -3.377 1.072
Br 0.000 0.000 0.000
Os 0.977 -1.696 1.194
Os -0.902 -1.536 -1.443
Os -1.867 -0.146 1.322
```

***

Most stable: entry a. Least stable: entry b.

***

Entry a
OsSBr3: relaxed, PBE.

Results
N(E_F) in states/eV/cell: 8.739
Magnetic moment in μB/cell: 0.00
Mass density in Mg/m³: 6.154

Structure (extended XYZ):
```
5
Lattice="-1.661 1.327 -4.521 2.886 -3.503 -2.088 -3.724 -3.306 0.398" Properties=species:S:1:pos:R:3 pbc="T T T"
S -1.250 -2.741 -3.105
Br 1.443 -1.751 -1.044
Br -0.830 0.663 -2.260
Os 0.000 0.000 0.000
Br -1.862 -1.653 0.199
```

***

Entry b
OsSBr3: relaxed, PBE.

Results
N(E_F) in states/eV/cell: 1.400
Magnetic moment in μB/cell: 2.06
Mass density in Mg/m³: 4.963

Structure (extended XYZ):
```
10
Lattice="6.372 1.353 2.249 -1.519 5.785 2.105 0.773 0.831 8.506" Properties=species:S:1:pos:R:3 pbc="T T T"
Br 4.559 1.438 2.751
Br 0.338 2.427 2.096
Br 3.399 3.668 5.334
Br 5.911 2.335 7.511
Os 5.113 1.766 5.228
S 2.243 6.020 7.942
Br 0.825 6.813 9.947
Os 4.865 5.506 4.321
S 4.963 5.925 10.849
Br -0.813 4.671 4.648
```

***

Most stable: entry b. Least stable: entry a.

***

Entry a
Sb2OsBr2: relaxed, PBE.

Results
N(E_F) in states/eV/cell: 10.545
Magnetic moment in μB/cell: 3.81
Mass density in Mg/m³: 7.085

Structure (extended XYZ):
```
10
Lattice="-0.089 5.463 4.404 -6.768 -1.230 1.389 1.492 -3.405 4.254" Properties=species:S:1:pos:R:3 pbc="T T T"
Sb -5.757 0.850 2.699
Sb -4.502 3.817 4.634
Br -4.781 -0.995 4.632
Os -3.429 2.116 2.897
Br -0.584 1.822 5.415
Br -1.386 -1.063 3.387
Os 0.000 0.000 0.000
Br -3.979 1.891 6.660
Sb -2.356 0.415 1.159
Sb -1.101 3.383 3.094
```

***

Entry b
Sb2OsBr2: relaxed, PBE.

Results
N(E_F) in states/eV/cell: 2.550
Magnetic moment in μB/cell: 0.98
Mass density in Mg/m³: 6.730

Structure (extended XYZ):
```
5
Lattice="-3.469 -0.965 -0.872 1.073 -3.528 -0.363 -3.318 -3.952 9.698" Properties=species:S:1:pos:R:3 pbc="T T T"
Br -3.992 -3.582 4.104
Os 0.000 0.000 0.000
Sb -4.228 -5.967 7.680
Sb -1.486 -2.478 0.782
Br -1.721 -4.863 4.359
```

***

Most stable: entry a. Least stable: entry b.

***

Entry a
SbOsBr: relaxed, PBE.

Results
N(E_F) in states/eV/cell: 0.395
Magnetic moment in μB/cell: 0.00
Mass density in Mg/m³: 9.941

Structure (extended XYZ):
```
3
Lattice="-4.300 -1.293 0.554 -1.458 -1.321 4.074 -2.864 2.611 2.334" Properties=species:S:1:pos:R:3 pbc="T T T"
Sb 0.000 0.000 0.000
Os -2.155 -0.001 1.740
Br -4.311 -0.002 3.481
```

***

Entry b
SbOsBr: relaxed, PBE.

Results
N(E_F) in states/eV/cell: 3.397
Magnetic moment in μB/cell: 0.00
Mass density in Mg/m³: 9.228

Structure (extended XYZ):
```
3
Lattice="8.534 0.028 -0.017 7.615 3.090 -0.022 0.919 -1.450 2.697" Properties=species:S:1:pos:R:3 pbc="T T T"
Sb 11.593 1.752 0.780
Br 15.598 2.953 0.060
Os 6.027 0.082 1.780
```

***

Most stable: entry a. Least stable: entry b.

***

Entry a
SbOsBr: relaxed, PBE.

Results
N(E_F) in states/eV/cell: 0.038
Magnetic moment in μB/cell: 0.00
Mass density in Mg/m³: 7.846

Structure (extended XYZ):
```
3
Lattice="4.053 0.000 0.000 -2.026 3.510 0.000 0.000 0.000 5.831" Properties=species:S:1:pos:R:3 pbc="T T T"
Br 0.000 0.000 0.570
Sb 0.000 2.340 3.118
Os 2.026 1.170 2.143
```

***

Entry b
SbOsBr: relaxed, PBE.

Results
N(E_F) in states/eV/cell: 3.317
Magnetic moment in μB/cell: 0.40
Mass density in Mg/m³: 8.498

Structure (extended XYZ):
```
3
Lattice="-0.567 -1.812 -2.729 3.079 1.047 0.690 1.344 -6.697 4.167" Properties=species:S:1:pos:R:3 pbc="T T T"
Os 1.104 -3.128 -0.177
Sb 2.631 -3.731 1.930
Br 0.121 -0.603 0.375
```

***

Entry c
SbOsBr: relaxed, PBE.

Results
N(E_F) in states/eV/cell: 2.647
Magnetic moment in μB/cell: 0.00
Mass density in Mg/m³: 9.195

Structure (extended XYZ):
```
3
Lattice="-6.564 -2.942 -1.748 -6.244 -2.899 2.720 5.478 4.959 -0.439" Properties=species:S:1:pos:R:3 pbc="T T T"
Br -12.268 -5.594 0.931
Os -4.218 -1.923 0.320
Sb -9.130 -4.164 0.693
```

***

Most stable: entry a. Least stable: entry c.

***

Entry a
SbTe2OsBr: relaxed, PBE.

Results
N(E_F) in states/eV/cell: 9.375
Magnetic moment in μB/cell: 3.52
Mass density in Mg/m³: 6.539

Structure (extended XYZ):
```
5
Lattice="5.478 0.000 0.000 0.000 5.478 0.000 0.000 0.000 5.477" Properties=species:S:1:pos:R:3 pbc="T T T"
Te 0.000 2.739 0.000
Te 2.739 0.000 0.000
Br 0.000 0.000 0.000
Sb 0.000 0.000 2.738
Os 2.739 2.739 2.738
```

***

Entry b
SbTe2OsBr: relaxed, PBE.

Results
N(E_F) in states/eV/cell: 6.953
Magnetic moment in μB/cell: 0.00
Mass density in Mg/m³: 7.373

Structure (extended XYZ):
```
5
Lattice="-3.341 3.901 -1.249 -2.365 -3.153 -3.522 -3.300 -1.645 3.689" Properties=species:S:1:pos:R:3 pbc="T T T"
Br -4.503 -0.449 -0.541
Sb -1.650 -0.823 1.845
Te -1.183 -1.577 -1.761
Os 0.000 0.000 0.000
Te -1.671 1.950 -0.624
```

***

Most stable: entry b. Least stable: entry a.